A plane-wave DFT calculation with PBE was carried out for a relaxed CdSnPd4 crystal.

Calculated values
Formation enthalpy at 0 K: -0.39 eV/atom
DOS at the Fermi energy: 1.6 states/eV/f.u.
VASP energy: -56.10 eV for the cell shown

Unit cell a=9.254 b=3.829 c=6.057 alpha=90.00 beta=109.12 gamma=90.00
Space group C2/m (No. 12)
One atom of each set of equivalent atoms:
Cd1 0.000 0.000 0.000 x2
Sn1 0.000 0.000 0.500 x2
Pd1 0.162 0.500 0.336 x4
Pd2 0.166 0.500 0.828 x4